(1)
Compound: CrIr
Source: Alexandria
Functional: PBE-GGA
Structure: optimized geometry

DFT formation energy, eV/f.u.: 0.29

Lattice parameters (Å, degrees): 4.0379 4.0379 11.8234 90.00 90.00 120.00
With the nearest neighbours (Å) after each atom.
Space group R-3m (No. 166, hexagonal axes)
One atom of each set of equivalent atoms:
Cr  0.0000  0.0000  0.1689 (multiplicity 6)  3 Cr 2.33, 1 Ir 2.60
Ir  0.0000  0.0000  0.3889 (multiplicity 6)  7 Cr 2.60-2.69, 4 Ir 2.63-2.68

=====

(2)
Compound: Ba2AlTcBr
Source: Alexandria
Functional: PBE-GGA
Structure: optimized geometry

ΔE_f (raw), eV per formula unit: 2.91

Lattice parameters (Å, degrees): 6.1499 6.1499 5.2171 90.00 90.00 90.00
With the nearest neighbours (Å) after each atom.
Space group P4/mmm (No. 123)
One atom of each set of equivalent atoms:
Ba  0.0000  0.5000  0.0000 (multiplicity 2)  2 Br 3.07
Al  0.0000  0.0000  0.5000 (multiplicity 1)  2 Br 2.61
Tc  0.5000  0.5000  0.5000 (multiplicity 1)  8 Ba 4.03, 4 Al 4.35
Br  0.0000  0.0000  0.0000 (multiplicity 1)  2 Al 2.61

=====

(3)
Compound: AlCoHgBr2
Source: Alexandria
Functional: PBE-GGA
Structure: optimized geometry

ΔE_f (raw), eV per formula unit: 4.51

Lattice parameters (Å, degrees): 5.8892 5.8892 5.0551 90.00 90.00 90.00
With the nearest neighbours (Å) after each atom.
Space group P4/mmm (No. 123)
One atom of each set of equivalent atoms:
Al  0.0000  0.0000  0.0000 (multiplicity 1)  2 Hg 2.53
Co  0.5000  0.5000  0.0000 (multiplicity 1)  8 Br 3.88, 4 Al 4.16
Hg  0.0000  0.0000  0.5000 (multiplicity 1)  2 Al 2.53
Br  0.0000  0.5000  0.5000 (multiplicity 2)  2 Hg 2.94

=====

(4)
Compound: Si2Se
Source: Alexandria
Functional: PBE-GGA
Structure: optimized geometry

Offset from the most stable computed form, meV/atom: 493
ΔE_f (raw), eV per formula unit: 0.97

Lattice parameters (Å, degrees): 3.5892 3.5892 14.8557 90.00 90.00 120.00
With the nearest neighbours (Å) after each atom.
Space group R-3m (No. 166, hexagonal axes)
One atom of each set of equivalent atoms:
Si  0.0000  0.0000  0.2107 (multiplicity 6)  3 Si 2.45
Se  0.0000  0.0000  0.0000 (multiplicity 3)  6 Si 2.76

=====

(5)
Compound: Sr2LiPH
Source: Alexandria
Functional: PBE-GGA
Structure: optimized geometry

Offset from the most stable computed form, meV/atom: 135

Lattice parameters (Å, degrees): 5.0295 5.0295 4.1407 90.00 90.00 90.00
With the nearest neighbours (Å) after each atom.
Space group P4/mmm (No. 123)
One atom of each set of equivalent atoms:
Sr  0.0000  0.5000  0.0000 (multiplicity 2)  2 H 2.51
Li  0.0000  0.0000  0.5000 (multiplicity 1)  2 H 2.07
P  0.5000  0.5000  0.5000 (multiplicity 1)  8 Sr 3.26, 4 Li 3.56
H  0.0000  0.0000  0.0000 (multiplicity 1)  2 Li 2.07

=====

(6)
Compound: Fe3AgIr
Source: Alexandria
Functional: PBE-GGA
Structure: optimized geometry

Offset from the most stable computed form, meV/atom: 0
DFT formation energy, eV/f.u.: 6.01

Lattice parameters (Å, degrees): 4.6634 4.6634 4.6634 90.00 90.00 90.00
With the nearest neighbours (Å) after each atom.
Space group Pm-3m (No. 221)
One atom of each set of equivalent atoms:
Fe  0.0000  0.0000  0.5000 (multiplicity 3)  2 Ir 2.33
Ag  0.5000  0.5000  0.5000 (multiplicity 1)  12 Fe 3.30
Ir  0.0000  0.0000  0.0000 (multiplicity 1)  6 Fe 2.33

=====

Per-record V, Å³/cell: 167 197 175 166 105 101
Per-record theoretical density, Mg/m³: 14.57 4.04 4.23 4.06 3.40 7.66